A plane-wave DFT calculation with PBE was carried out for a relaxed Nd2Cu2O5 crystal.

a b c (Å): 5.739 10.114 3.790
angles (deg): 90.00 90.00 90.00
Positions (direct):
Nd1 0.147 0.150 0.000
Nd2 0.353 0.650 0.000
Nd3 0.647 0.350 0.000
Nd4 0.853 0.850 0.000
Cu1 0.187 0.406 0.500
Cu2 0.313 0.906 0.500
Cu3 0.687 0.094 0.500
Cu4 0.813 0.594 0.500
O1 0.000 0.000 0.500
O2 0.090 0.707 0.500
O3 0.226 0.400 0.000
O4 0.274 0.900 0.000
O5 0.410 0.207 0.500
O6 0.500 0.500 0.500
O7 0.590 0.793 0.500
O8 0.726 0.100 0.000
O9 0.774 0.600 0.000
O10 0.910 0.293 0.500

**Total moment**: 0.04 μB per atom
**Energy relative to the lowest polymorph listed for this composition**: 37.6 meV/atom
**DFT total energy**: -6.79 eV per atom
**Energy relative to the elements, uncorrected**: -2.06 eV/atom
**Density of states at the Fermi level**: 3.49 states/eV/f.u.